Material: TaVAu2F
Method: DFT, PBE with a Hubbard U
State: optimized geometry

Cell lengths 5.114, 5.114, 4.651 Å; angles 90.00, 90.00, 90.00 degrees
Space group P4/mmm (No. 123)
Unique sites:
Ta: 0.000 0.000 0.000 [1 per cell]
V: 0.000 0.000 0.500 [1 per cell]
Au: 0.000 0.500 0.000 [2 per cell]
F: 0.500 0.500 0.500 [1 per cell]

Summary:
- Uncorrected energy: -21.38 eV per cell